A relaxed structure of NaOsCl6, computed with PBE-GGA.

Geometry as POSCAR:
```
NaOsCl6
1.0
3.206 1.851 5.837
-3.206 1.851 5.837
0.000 -3.702 5.837
Na Os Cl
1 1 6
Direct
0.000 0.000 0.000
0.500 0.500 0.500
0.116 0.707 0.449
0.293 0.551 0.884
0.449 0.116 0.707
0.551 0.884 0.293
0.707 0.449 0.116
0.884 0.293 0.551
```

final energy: -0.136 Ha/atom
relative energy among the computed polymorphs: 16 kJ/mol of formula units
space-group type: No. 148
volume: 207.8 Å³ per cell



A relaxed structure of ZrTlCuTc, computed with PBE-GGA.

Geometry as POSCAR:
```
ZrTlCuTc
1.0
0.000 3.293 3.293
3.293 0.000 3.293
3.293 3.293 0.000
Zr Tl Cu Tc
1 1 1 1
Direct
0.000 0.000 0.000
0.500 0.500 0.500
0.750 0.750 0.750
0.250 0.250 0.250
```

final energy: -0.221 Ha/atom
relative energy among the computed polymorphs: 0 kJ/mol of formula units
space-group type: No. 216
volume: 71.4 Å³ per cell



Q: The lowest relative energy among the computed polymorphs belongs to which entry?
A: ZrTlCuTc



Q: final energy of number 1 (NaOsCl6)?
A: -0.136 Ha/atom



Q: relative energy among the computed polymorphs of number 2 (ZrTlCuTc)?
A: 0 kJ/mol of formula units



Q: Number 2 is which compound?
A: ZrTlCuTc